(1)
This record from Alexandria via LeMat-Bulk describes a relaxed YZrCdPt crystal. The functional is PBE. Values from VASP.

Geometry as Quantum ESPRESSO input:
```
&SYSTEM
  ibrav = 0, nat = 4, ntyp = 4
/
ATOMIC_SPECIES
Y 88.91 Y.upf
Zr 91.22 Zr.upf
Pt 195.08 Pt.upf
Cd 112.41 Cd.upf
CELL_PARAMETERS angstrom
-4.957 0.345 -0.265
-2.530 -2.897 -3.157
-2.848 -3.689 1.745
ATOMIC_POSITIONS crystal
Y 0.000 0.000 0.000
Zr 0.500 0.500 0.500
Pt 0.750 0.750 0.750
Cd 0.250 0.250 0.250
```

Calculated values
- Energy of formation: -0.520 eV per atom
- Total DFT energy (no corrections): -6.01 eV per atom
- M_tot: 0.00 μB/f.u.
- D(E_F): 1.196 states/eV per atom
- Crystal system: cubic

(2)
This record from Alexandria via LeMat-Bulk describes a relaxed Zn3CdPt12 crystal. The functional is PBE. Values from VASP.

Geometry as Quantum ESPRESSO input:
```
&SYSTEM
  ibrav = 0, nat = 16, ntyp = 3
/
ATOMIC_SPECIES
Zn 65.41 Zn.upf
Cd 112.41 Cd.upf
Pt 195.08 Pt.upf
CELL_PARAMETERS angstrom
3.967 0.000 0.000
0.000 3.967 0.000
0.000 0.000 15.761
ATOMIC_POSITIONS crystal
Zn 0.000 0.000 0.254
Zn 0.000 0.000 0.500
Zn 0.000 0.000 0.746
Cd 0.000 0.000 0.000
Pt 0.500 0.500 0.000
Pt 0.500 0.500 0.254
Pt 0.500 0.500 0.500
Pt 0.500 0.500 0.746
Pt 0.500 0.000 0.132
Pt 0.500 0.000 0.377
Pt 0.500 0.000 0.623
Pt 0.500 0.000 0.868
Pt 0.000 0.500 0.132
Pt 0.000 0.500 0.377
Pt 0.000 0.500 0.623
Pt 0.000 0.500 0.868
```

Calculated values
- Energy of formation: -0.299 eV per atom
- Total DFT energy (no corrections): -5.13 eV per atom
- M_tot: 0.00 μB/f.u.
- D(E_F): 0.805 states/eV per atom
- Crystal system: tetragonal

(3)
This record from Alexandria via LeMat-Bulk describes a relaxed ZnCd2Pt crystal. The functional is PBE. Values from VASP.

Geometry as Quantum ESPRESSO input:
```
&SYSTEM
  ibrav = 0, nat = 8, ntyp = 3
/
ATOMIC_SPECIES
Zn 65.41 Zn.upf
Pt 195.08 Pt.upf
Cd 112.41 Cd.upf
CELL_PARAMETERS angstrom
7.662 0.000 0.000
0.000 7.662 0.000
3.831 3.831 2.710
ATOMIC_POSITIONS crystal
Zn 0.500 0.500 0.000
Zn 0.250 0.750 0.500
Pt 0.000 0.000 0.000
Pt 0.750 0.250 0.500
Cd 0.633 0.125 0.250
Cd 0.117 0.625 0.250
Cd 0.375 0.367 0.750
Cd 0.875 0.883 0.750
```

Calculated values
- Energy of formation: 0.050 eV per atom
- Total DFT energy (no corrections): -2.24 eV per atom
- M_tot: 0.00 μB/f.u.
- D(E_F): 0.323 states/eV per atom
- Crystal system: tetragonal

(4)
This record from Alexandria via LeMat-Bulk describes a relaxed ZnCd2Pt crystal. The functional is PBE. Values from VASP.

Geometry as Quantum ESPRESSO input:
```
&SYSTEM
  ibrav = 0, nat = 4, ntyp = 3
/
ATOMIC_SPECIES
Cd 112.41 Cd.upf
Pt 195.08 Pt.upf
Zn 65.41 Zn.upf
CELL_PARAMETERS angstrom
-1.735 2.369 0.562
-1.550 -1.606 1.989
5.148 2.365 5.921
ATOMIC_POSITIONS crystal
Cd 0.000 0.000 0.011
Cd 0.000 0.000 0.489
Pt 0.500 0.500 0.250
Zn 0.500 0.500 0.750
```

Calculated values
- Energy of formation: -0.104 eV per atom
- Total DFT energy (no corrections): -2.39 eV per atom
- M_tot: 0.00 μB/f.u.
- D(E_F): 0.425 states/eV per atom
- Crystal system: tetragonal

(5)
This record from Alexandria via LeMat-Bulk describes a relaxed ZnCd2Pt2 crystal. The functional is PBE. Values from VASP.

Geometry as Quantum ESPRESSO input:
```
&SYSTEM
  ibrav = 0, nat = 5, ntyp = 3
/
ATOMIC_SPECIES
Zn 65.41 Zn.upf
Pt 195.08 Pt.upf
Cd 112.41 Cd.upf
CELL_PARAMETERS angstrom
-3.881 0.000 0.305
0.004 -3.892 0.051
-1.425 -1.860 6.713
ATOMIC_POSITIONS crystal
Zn 0.000 0.000 0.000
Pt 0.403 0.403 0.195
Pt 0.597 0.597 0.805
Cd 0.750 0.250 0.500
Cd 0.250 0.750 0.500
```

Calculated values
- Energy of formation: 0.031 eV per atom
- Total DFT energy (no corrections): -3.01 eV per atom
- M_tot: 0.00 μB/f.u.
- D(E_F): 0.350 states/eV per atom
- Crystal system: tetragonal

(6)
This record from Alexandria via LeMat-Bulk describes a relaxed ZnCdPt2 crystal. The functional is PBE. Values from VASP.

Geometry as Quantum ESPRESSO input:
```
&SYSTEM
  ibrav = 0, nat = 4, ntyp = 3
/
ATOMIC_SPECIES
Zn 65.41 Zn.upf
Pt 195.08 Pt.upf
Cd 112.41 Cd.upf
CELL_PARAMETERS angstrom
-1.879 2.284 -0.160
-1.942 -1.481 1.674
2.991 2.882 6.020
ATOMIC_POSITIONS crystal
Zn 0.500 0.500 0.250
Pt 0.000 0.000 0.025
Pt 0.000 0.000 0.475
Cd 0.500 0.500 0.750
```

Calculated values
- Energy of formation: -0.461 eV per atom
- Total DFT energy (no corrections): -4.03 eV per atom
- M_tot: 0.00 μB/f.u.
- D(E_F): 0.223 states/eV per atom
- Crystal system: tetragonal

(7)
This record from Alexandria via LeMat-Bulk describes a relaxed ZnCdPt5 crystal. The functional is PBE. Values from VASP.

Geometry as Quantum ESPRESSO input:
```
&SYSTEM
  ibrav = 0, nat = 7, ntyp = 3
/
ATOMIC_SPECIES
Zn 65.41 Zn.upf
Cd 112.41 Cd.upf
Pt 195.08 Pt.upf
CELL_PARAMETERS angstrom
3.966 0.000 0.000
0.000 3.966 0.000
0.000 0.000 7.503
ATOMIC_POSITIONS crystal
Zn 0.500 0.500 0.000
Cd 0.000 0.000 0.500
Pt 0.000 0.500 0.777
Pt 0.000 0.500 0.223
Pt 0.500 0.000 0.777
Pt 0.500 0.000 0.223
Pt 0.500 0.500 0.500
```

Calculated values
- Energy of formation: -0.118 eV per atom
- Total DFT energy (no corrections): -4.75 eV per atom
- M_tot: 0.00 μB/f.u.
- D(E_F): 1.144 states/eV per atom
- Crystal system: tetragonal

(8)
This record from Alexandria via LeMat-Bulk describes a relaxed Zn2CdPt3 crystal. The functional is PBE. Values from VASP.

Geometry as Quantum ESPRESSO input:
```
&SYSTEM
  ibrav = 0, nat = 6, ntyp = 3
/
ATOMIC_SPECIES
Zn 65.41 Zn.upf
Cd 112.41 Cd.upf
Pt 195.08 Pt.upf
CELL_PARAMETERS angstrom
2.927 0.000 0.000
0.000 2.927 0.000
0.000 0.000 10.889
ATOMIC_POSITIONS crystal
Zn 0.500 0.500 0.842
Zn 0.500 0.500 0.158
Cd 0.500 0.500 0.500
Pt 0.000 0.000 0.000
Pt 0.000 0.000 0.688
Pt 0.000 0.000 0.312
```

Calculated values
- Energy of formation: -0.497 eV per atom
- Total DFT energy (no corrections): -4.09 eV per atom
- M_tot: 0.00 μB/f.u.
- D(E_F): 0.212 states/eV per atom
- Crystal system: tetragonal

(9)
This record from Alexandria via LeMat-Bulk describes a relaxed ZnCdPt3 crystal. The functional is PBE. Values from VASP.

Geometry as Quantum ESPRESSO input:
```
&SYSTEM
  ibrav = 0, nat = 5, ntyp = 3
/
ATOMIC_SPECIES
Zn 65.41 Zn.upf
Pt 195.08 Pt.upf
Cd 112.41 Cd.upf
CELL_PARAMETERS angstrom
4.633 0.000 0.000
0.000 4.633 0.000
0.000 0.000 4.633
ATOMIC_POSITIONS crystal
Zn 0.000 0.000 0.000
Pt 0.000 0.500 0.000
Pt 0.000 0.000 0.500
Pt 0.500 0.000 0.000
Cd 0.500 0.500 0.500
```

Calculated values
- Energy of formation: 0.461 eV per atom
- Total DFT energy (no corrections): -3.60 eV per atom
- Energy above the most stable polymorph in this dataset: 0.000 eV per atom
- M_tot: 0.00 μB/f.u.
- D(E_F): 0.205 states/eV per atom
- Crystal system: cubic

(10)
This record from Alexandria via LeMat-Bulk describes a relaxed ZnCd2Pt crystal. The functional is PBE. Values from VASP.

Geometry as Quantum ESPRESSO input:
```
&SYSTEM
  ibrav = 0, nat = 4, ntyp = 3
/
ATOMIC_SPECIES
Cd 112.41 Cd.upf
Pt 195.08 Pt.upf
Zn 65.41 Zn.upf
CELL_PARAMETERS angstrom
-1.491 4.889 -0.636
-2.785 0.652 -4.284
-0.262 -3.313 3.936
ATOMIC_POSITIONS crystal
Cd 0.000 0.000 0.000
Cd 0.500 0.500 0.000
Pt 0.750 0.250 0.500
Zn 0.250 0.750 0.500
```

Calculated values
- Energy of formation: -0.218 eV per atom
- Total DFT energy (no corrections): -2.50 eV per atom
- M_tot: 0.00 μB/f.u.
- D(E_F): 0.155 states/eV per atom
- Crystal system: tetragonal

(11)
This record from Alexandria via LeMat-Bulk describes a relaxed ZnCd2Pt2 crystal. The functional is PBE. Values from VASP.

Geometry as Quantum ESPRESSO input:
```
&SYSTEM
  ibrav = 0, nat = 10, ntyp = 3
/
ATOMIC_SPECIES
Zn 65.41 Zn.upf
Pt 195.08 Pt.upf
Cd 112.41 Cd.upf
CELL_PARAMETERS angstrom
7.939 0.000 0.000
0.000 7.939 0.000
0.000 0.000 2.972
ATOMIC_POSITIONS crystal
Zn 0.000 0.000 0.000
Zn 0.500 0.500 0.000
Pt 0.164 0.664 0.500
Pt 0.664 0.836 0.500
Pt 0.836 0.336 0.500
Pt 0.336 0.164 0.500
Cd 0.366 0.866 0.000
Cd 0.866 0.634 0.000
Cd 0.634 0.134 0.000
Cd 0.134 0.366 0.000
```

Calculated values
- Energy of formation: -0.089 eV per atom
- Total DFT energy (no corrections): -3.13 eV per atom
- M_tot: 0.00 μB/f.u.
- D(E_F): 0.287 states/eV per atom
- Crystal system: tetragonal

(12)
This record from Alexandria via LeMat-Bulk describes a relaxed ZnCd2Pt crystal. The functional is PBE. Values from VASP.

Geometry as Quantum ESPRESSO input:
```
&SYSTEM
  ibrav = 0, nat = 4, ntyp = 3
/
ATOMIC_SPECIES
Cd 112.41 Cd.upf
Pt 195.08 Pt.upf
Zn 65.41 Zn.upf
CELL_PARAMETERS angstrom
-3.835 -2.199 0.526
0.032 -0.761 -2.952
2.731 -4.819 -0.237
ATOMIC_POSITIONS crystal
Cd 0.000 0.956 0.966
Cd 0.500 0.292 0.286
Pt 0.000 0.686 0.499
Zn 0.500 0.566 0.749
```

Calculated values
- Energy of formation: -0.210 eV per atom
- Total DFT energy (no corrections): -2.50 eV per atom
- M_tot: 0.00 μB/f.u.
- D(E_F): 0.390 states/eV per atom
- Crystal system: monoclinic

Question: Look up the total DFT energy (no corrections) of the fourth one.
Answer: -2.39 eV per atom